## BiBBr2 (GGA-PBE)

Data for an optimized crystal structure of BiBBr2.

* energy relative to the elements, uncorrected: 999 meV per atom
* magnetization: 0.00 μB/cell
* space-group type: No. 225
* distance to the lowest polymorph of the same formula: 0.470 eV/atom
* density: 6.50 g/cm³

abc: 5.157 5.157 5.157
angles: 60.00 60.00 60.00
Sites, in units of the cell vectors:
1 Br 0.750 0.750 0.750
2 Bi 0.500 0.500 0.500
3 B 0.000 0.000 0.000
4 Br 0.250 0.250 0.250